Record 1
An optimized crystal structure of CoIr2Au. Source: the Alexandria database, functional GGA-PBEsol.

```
4
Lattice="-0.573 1.695 2.050 -1.048 -2.071 1.420 6.740 -1.353 3.003" Properties=species:S:1:pos:R:3 pbc="T T T"
Ir 6.656 -1.336 2.965
Co 4.344 -1.222 4.031
Ir 0.761 -0.503 2.435
Au 3.469 -0.696 1.545
```

The energy of formation from the pure elements is 0.69 eV per formula unit. Its crystal system is tetragonal. Its total magnetic moment is 1.33 μB per formula unit.



Record 2
An optimized crystal structure of Ta2RePt. Source: the Alexandria database, functional GGA-PBEsol.

```
4
Lattice="2.801 0.000 0.000 1.400 2.426 0.000 1.400 0.809 9.547" Properties=species:S:1:pos:R:3 pbc="T T T"
Pt 2.801 1.617 4.731
Ta 4.201 2.426 0.067
Ta 4.201 2.426 7.036
Re 1.400 0.809 2.486
```

The energy of formation from the pure elements is 0.10 eV per formula unit. Its crystal system is trigonal. Its total magnetic moment is 0.00 μB per formula unit.



Record 3
An optimized crystal structure of SmAlPd. Source: the Alexandria database, functional GGA-PBEsol.

```
12
Lattice="-4.351 0.888 -0.247 -1.023 -5.975 -3.467 -1.133 -3.689 6.691" Properties=species:S:1:pos:R:3 pbc="T T T"
Al -1.309 -0.880 -0.128
Al -2.240 -5.232 0.616
Sm -2.564 -5.995 3.581
Sm -4.616 -6.291 -1.388
Pd -1.808 -2.858 1.550
Sm -1.891 -2.484 4.365
Al -4.267 -3.543 2.362
Al -5.198 -7.896 3.105
Sm -3.944 -2.780 -0.604
Pd -4.493 -3.924 4.966
Pd -4.699 -5.917 1.428
Pd -2.014 -4.851 -1.989
```

The energy of formation from the pure elements is -2.51 eV per formula unit. Its crystal system is orthorhombic. Its total magnetic moment is 0.00 μB per formula unit.



- What is the energy of formation from the pure elements in the second record?
  0.10 eV per formula unit